Computed, not measured: crystalline PrSm2Pb9 at its relaxed geometry at the PBE level of DFT.

Unit cell a=4.9227 b=4.9227 c=14.7624 alpha=90.00 beta=90.00 gamma=90.00
Closest atoms and distances in Å follow each position.
Sites, in units of the cell vectors:
Pb  0.5000  0.5000  0.6656  8 Pb 3.47, 4 Sm 3.48
Pb  0.5000  0.0000  0.1688  2 Sm 3.47, 8 Pb 3.47-3.50, 2 Pr 3.50
Pb  0.5000  0.0000  0.5000  8 Pb 3.47-3.48, 4 Sm 3.47
Pb  0.5000  0.5000  0.3344  8 Pb 3.47, 4 Sm 3.48
Pb  0.0000  0.5000  0.5000  8 Pb 3.47-3.48, 4 Sm 3.47
Sm  0.0000  0.0000  0.3343  12 Pb 3.47-3.48
Pr  0.0000  0.0000  0.0000  12 Pb 3.48-3.50
Pb  0.0000  0.5000  0.1688  2 Sm 3.47, 8 Pb 3.47-3.50, 2 Pr 3.50
Pb  0.5000  0.0000  0.8312  2 Sm 3.47, 8 Pb 3.47-3.50, 2 Pr 3.50
Pb  0.0000  0.5000  0.8312  2 Sm 3.47, 8 Pb 3.47-3.50, 2 Pr 3.50
Sm  0.0000  0.0000  0.6657  12 Pb 3.47-3.48
Pb  0.5000  0.5000  0.0000  4 Pr 3.48, 8 Pb 3.50

Properties
- Space-group type: P4/mmm, No. 123
- ΔE_f: -0.36 eV/atom